LiLa2Ni3P4: optimized geometry, PBE.

Cell: 4.142 4.142 9.287 Å, 90.00 90.00 90.00°
Sites, in units of the cell vectors:
Li (0.000, 0.000, 0.000)
La (0.000, 0.500, 0.748)
La (0.500, 0.000, 0.252)
Ni (0.000, 0.500, 0.392)
Ni (0.500, 0.000, 0.608)
Ni (0.500, 0.500, 0.000)
P (0.000, 0.000, 0.500)
P (0.000, 0.500, 0.136)
P (0.500, 0.000, 0.864)
P (0.500, 0.500, 0.500)

Properties
- electronic total energy (eV per cell) = -60.9
- SG = P-4m2, No. 115
- magnetization (μB per cell) = 0.00

---

AuO: optimized geometry, PBE.

Cell: 3.648 3.648 3.777 Å, 90.77 90.77 59.52°
Sites, in units of the cell vectors:
Au (0.000, 0.000, 0.000)
O (0.000, 0.000, 0.500)

Properties
- energy relative to the elements, uncorrected (kJ per mole of atoms) = 32
- electronic total energy (eV per cell) = -7.6
- SG = C2/m, No. 12
- magnetization (μB per cell) = 0.12

---

Pr2Nd5YSc: optimized geometry, PBE.

Cell: 10.453 10.453 10.453 Å, 131.94 131.94 70.33°
Sites, in units of the cell vectors:
Pr (0.125, 0.625, 0.750)
Pr (0.375, 0.125, 0.500)
Pr (0.625, 0.875, 0.500)
Pr (0.875, 0.375, 0.250)
Nd (0.000, 0.000, 0.000)
Nd (0.072, 0.136, 0.500)
Nd (0.136, 0.636, 0.063)
Nd (0.364, 0.428, 0.500)
Nd (0.428, 0.928, 0.063)
Nd (0.500, 0.500, 0.000)
Nd (0.572, 0.072, 0.937)
Nd (0.636, 0.572, 0.500)
Nd (0.864, 0.364, 0.937)
Nd (0.928, 0.864, 0.500)
Y (0.250, 0.250, 0.000)
Y (0.750, 0.750, 0.000)
Sc (0.250, 0.750, 0.500)
Sc (0.750, 0.250, 0.500)

Properties
- electronic total energy (eV per cell) = -87.5
- SG = I4/mcm, No. 140
- magnetization (μB per cell) = 0.00

---

CaHo: optimized geometry, PBE.

Cell: 5.822 5.822 5.822 Å, 60.00 60.00 60.00°
Sites, in units of the cell vectors:
Ca (0.125, 0.125, 0.125)
Ca (0.875, 0.875, 0.875)
Ho (0.375, 0.375, 0.375)
Ho (0.625, 0.625, 0.625)

Properties
- electronic total energy (eV per cell) = -12.5
- SG = Fd-3m, No. 227
- polymorph energy (0 for the lowest one) (kJ/mol of formula units) = 7
- magnetization (μB per cell) = 0.00

---

PmGaIr2: optimized geometry, PBE.

Cell: 4.371 4.371 3.753 Å, 90.00 90.00 90.00°
Sites, in units of the cell vectors:
Pm (0.000, 0.000, 0.000)
Ga (0.500, 0.500, 0.000)
Ir (0.000, 0.500, 0.500)
Ir (0.500, 0.000, 0.500)

Properties
- electronic total energy (eV per cell) = -27.1
- SG = P4/mmm, No. 123
- magnetization (μB per cell) = 0.00

---

Sc2TlCoP: optimized geometry, PBE.

Cell: 5.409 5.409 4.861 Å, 90.00 90.00 90.00°
Sites, in units of the cell vectors:
Sc (0.000, 0.500, 0.000)
Sc (0.500, 0.000, 0.000)
Tl (0.000, 0.000, 0.000)
Co (0.500, 0.500, 0.500)
P (0.000, 0.000, 0.500)

Properties
- electronic total energy (eV per cell) = -21.3
- SG = P4/mmm, No. 123
- magnetization (μB per cell) = 1.53